Here is NdScZnPb after structural relaxation from the Alexandria database. Energies are from PBE.

a = 5.197 Å, b = 5.197 Å, c = 5.197 Å
α = 60.00°, β = 60.00°, γ = 60.00°
Fractional positions:
Pb: 0.250 0.250 0.250
Sc: 0.000 0.000 0.000
Zn: 0.750 0.750 0.750
Nd: 0.500 0.500 0.500

Results
E_form: -32.6 kJ/mol of atoms
spin magnetization: 0.0000 μB per atom

---

Here is Tb2Pm6NdDy after structural relaxation from the Alexandria database. Energies are from PBE.

a = 9.706 Å, b = 8.937 Å, c = 8.937 Å
α = 117.64°, β = 93.83°, γ = 93.83°
Fractional positions:
Dy: 0.750 0.590 0.410
Dy: 0.250 0.410 0.590
Tb: 0.954 0.700 0.799
Tb: 0.546 0.201 0.300
Tb: 0.454 0.799 0.700
Tb: 0.046 0.300 0.201
Nd: 0.750 0.026 0.974
Nd: 0.250 0.974 0.026
Pm: 0.619 0.490 0.707
Pm: 0.555 0.755 0.118
Pm: 0.055 0.118 0.755
Pm: 0.445 0.245 0.882
Pm: 0.381 0.510 0.293
Pm: 0.185 0.565 0.013
Pm: 0.315 0.987 0.435
Pm: 0.685 0.013 0.565
Pm: 0.881 0.293 0.510
Pm: 0.945 0.882 0.245
Pm: 0.815 0.435 0.987
Pm: 0.119 0.707 0.490

Results
E_form: 11.1 kJ/mol of atoms
spin magnetization: 0.0000 μB per atom

---

E_tot across the listed records, respectively: -4.36 -4.60 eV per atom.